No. 1
GGA-PBE NaCaBrCl2, relaxed; formation energy without anion corrections = -1.895 eV/atom; space-group type = No. 123; calculated volume = 32.74 Å³/atom; density of states at the Fermi level = 0.0000 states/eV per atom; magnetization = 0.00 μB/f.u.; distance to the lowest polymorph of the same formula = 109 meV/atom; total DFT energy (no corrections) = -3.63 eV/atom
1.0
5.336 0.000 0.000
0.000 5.336 0.000
0.000 0.000 5.748
Na Ca Br Cl
1 1 1 2
Cartesian
0.000 0.000 0.000 Na
2.668 2.668 2.874 Ca
2.668 2.668 0.000 Br
0.000 2.668 2.874 Cl
2.668 0.000 2.874 Cl



No. 2
GGA-PBE NaCaBrCl2, relaxed; formation energy without anion corrections = -2.004 eV/atom; space-group type = No. 11; calculated volume = 30.35 Å³/atom; density of states at the Fermi level = 0.0000 states/eV per atom; magnetization = 0.00 μB/f.u.; distance to the lowest polymorph of the same formula = 0 meV/atom; total DFT energy (no corrections) = -3.74 eV/atom
1.0
7.693 0.000 0.000
0.000 4.528 0.000
-0.776 0.000 8.713
Na Ca Br Cl
2 2 2 4
Cartesian
1.079 1.132 3.859 Na
5.839 3.396 4.854 Na
1.350 3.396 8.045 Ca
5.567 1.132 0.668 Ca
0.993 1.132 1.021 Br
5.924 3.396 7.692 Br
0.964 3.396 5.255 Cl
2.884 1.132 7.316 Cl
4.033 3.396 1.397 Cl
5.953 1.132 3.458 Cl



No. 3
GGA-PBE NaCaBrCl2, relaxed; formation energy without anion corrections = -1.624 eV/atom; space-group type = No. 123; calculated volume = 68.99 Å³/atom; density of states at the Fermi level = 0.0000 states/eV per atom; magnetization = 0.00 μB/f.u.; distance to the lowest polymorph of the same formula = 380 meV/atom; total DFT energy (no corrections) = -3.36 eV/atom
1.0
5.113 0.000 0.000
0.000 5.113 0.000
0.000 0.000 13.195
Na Ca Br Cl
1 1 1 2
Cartesian
0.000 0.000 0.000 Na
0.000 0.000 6.597 Ca
2.557 2.557 0.000 Br
0.000 2.557 6.597 Cl
2.557 0.000 6.597 Cl



No. 4
GGA-PBE NaCaBr2Cl, relaxed; formation energy without anion corrections = -1.929 eV/atom; space-group type = No. 63; calculated volume = 28.82 Å³/atom; density of states at the Fermi level = 0.0000 states/eV per atom; magnetization = 0.00 μB/f.u.; distance to the lowest polymorph of the same formula = 0 meV/atom; total DFT energy (no corrections) = -3.63 eV/atom
1.0
2.094 -6.807 0.000
2.094 6.807 0.000
0.000 0.000 10.108
Na Ca Br Cl
2 2 4 2
Cartesian
2.094 3.736 7.581 Na
2.094 -3.736 2.527 Na
2.094 0.000 0.000 Ca
2.094 0.000 5.054 Ca
2.094 4.901 0.645 Br
2.094 4.901 4.409 Br
2.094 -4.901 5.699 Br
2.094 -4.901 9.463 Br
2.094 1.159 2.527 Cl
2.094 -1.159 7.581 Cl



No. 5
GGA-PBE Na2CaBr2Cl2, relaxed; formation energy without anion corrections = -1.874 eV/atom; space-group type = No. 2; calculated volume = 28.92 Å³/atom; density of states at the Fermi level = 0.0000 states/eV per atom; magnetization = 0.00 μB/f.u.; total DFT energy (no corrections) = -3.54 eV/atom
1.0
4.173 0.000 0.000
0.122 7.356 0.000
1.980 2.912 6.595
Na Ca Br Cl
2 1 2 2
Cartesian
0.960 1.704 0.521 Na
5.315 8.564 6.074 Na
3.138 5.134 3.298 Ca
3.102 2.722 4.822 Br
3.173 7.546 1.773 Br
1.047 4.300 1.586 Cl
5.228 5.968 5.009 Cl



No. 6
GGA-PBE NaCaBr2Cl, relaxed; formation energy without anion corrections = -1.787 eV/atom; space-group type = No. 123; calculated volume = 34.63 Å³/atom; density of states at the Fermi level = 0.0000 states/eV per atom; magnetization = 0.00 μB/f.u.; distance to the lowest polymorph of the same formula = 142 meV/atom; total DFT energy (no corrections) = -3.49 eV/atom
1.0
5.710 0.000 0.000
0.000 5.710 0.000
0.000 0.000 5.311
Na Ca Br Cl
1 1 2 1
Cartesian
0.000 0.000 0.000 Na
2.855 2.855 2.655 Ca
0.000 2.855 2.655 Br
2.855 0.000 2.655 Br
2.855 2.855 0.000 Cl



No. 7
GGA-PBE CaNbBr2Cl, relaxed; formation energy without anion corrections = -0.432 eV/atom; space-group type = No. 123; calculated volume = 32.74 Å³/atom; density of states at the Fermi level = 1.2569 states/eV per atom; magnetization = 4.00 μB/f.u.; total DFT energy (no corrections) = -3.88 eV/atom
1.0
5.647 0.000 0.000
0.000 5.647 0.000
0.000 0.000 5.134
Ca Nb Br Cl
1 1 2 1
Cartesian
0.000 0.000 0.000 Ca
2.823 2.823 2.567 Nb
0.000 2.823 0.000 Br
2.823 0.000 0.000 Br
0.000 0.000 2.567 Cl



No. 8
GGA-PBE CaPBrCl2, relaxed; formation energy without anion corrections = -0.067 eV/atom; space-group type = No. 123; calculated volume = 27.22 Å³/atom; density of states at the Fermi level = 0.7232 states/eV per atom; magnetization = 0.23 μB/f.u.; distance to the lowest polymorph of the same formula = 434 meV/atom; total DFT energy (no corrections) = -2.62 eV/atom
1.0
5.137 0.000 0.000
0.000 5.137 0.000
0.000 0.000 5.158
Ca P Br Cl
1 1 1 2
Cartesian
0.000 0.000 0.000 Ca
2.568 2.568 0.000 P
2.568 2.568 2.579 Br
0.000 2.568 2.579 Cl
2.568 0.000 2.579 Cl



No. 9
GGA-PBE CaPBrCl2, relaxed; formation energy without anion corrections = -0.501 eV/atom; space-group type = No. 123; calculated volume = 47.73 Å³/atom; density of states at the Fermi level = 0.4394 states/eV per atom; magnetization = 2.04 μB/f.u.; distance to the lowest polymorph of the same formula = 0 meV/atom; total DFT energy (no corrections) = -3.06 eV/atom
1.0
5.064 0.000 0.000
0.000 5.064 0.000
0.000 0.000 9.307
Ca P Br Cl
1 1 1 2
Cartesian
0.000 0.000 0.000 Ca
0.000 0.000 4.653 P
2.532 2.532 4.653 Br
0.000 2.532 0.000 Cl
2.532 0.000 0.000 Cl



No. 10
GGA-PBE CaP2BrCl, relaxed; formation energy without anion corrections = 0.256 eV/atom; space-group type = No. 123; calculated volume = 27.77 Å³/atom; density of states at the Fermi level = 0.9282 states/eV per atom; magnetization = 0.00 μB/f.u.; distance to the lowest polymorph of the same formula = 0 meV/atom; total DFT energy (no corrections) = -3.01 eV/atom
1.0
4.726 0.000 0.000
0.000 4.726 0.000
0.000 0.000 6.218
Ca P Br Cl
1 2 1 1
Cartesian
0.000 0.000 0.000 Ca
0.000 2.363 3.109 P
2.363 0.000 3.109 P
2.363 2.363 3.109 Br
2.363 2.363 0.000 Cl



No. 11
GGA-PBE CaP2BrCl, relaxed; formation energy without anion corrections = 0.398 eV/atom; space-group type = No. 123; calculated volume = 32.29 Å³/atom; density of states at the Fermi level = 1.1815 states/eV per atom; magnetization = 2.26 μB/f.u.; distance to the lowest polymorph of the same formula = 142 meV/atom; total DFT energy (no corrections) = -2.87 eV/atom
1.0
5.641 0.000 0.000
0.000 5.641 0.000
0.000 0.000 5.074
Ca P Br Cl
1 2 1 1
Cartesian
0.000 0.000 0.000 Ca
0.000 2.821 0.000 P
2.821 0.000 0.000 P
2.821 2.821 2.537 Br
0.000 0.000 2.537 Cl



No. 12
GGA-PBE CaPbBrCl3, relaxed; formation energy without anion corrections = -1.647 eV/atom; space-group type = No. 63; calculated volume = 36.99 Å³/atom; density of states at the Fermi level = 0.0000 states/eV per atom; magnetization = 0.00 μB/f.u.; total DFT energy (no corrections) = -3.80 eV/atom
1.0
2.159 -8.760 0.000
2.159 8.760 0.000
0.000 0.000 11.737
Ca Pb Br Cl
2 2 2 6
Cartesian
2.159 6.216 8.803 Ca
2.159 -6.216 2.934 Ca
2.159 0.000 0.000 Pb
2.159 0.000 5.869 Pb
2.159 4.325 2.934 Br
2.159 -4.325 8.803 Br
2.159 6.828 6.088 Cl
2.159 6.828 11.517 Cl
2.159 0.495 2.934 Cl
2.159 -0.495 8.803 Cl
2.159 -6.828 0.220 Cl
2.159 -6.828 5.649 Cl



No. 13
GGA-PBE Ca2PtBrCl, relaxed; formation energy without anion corrections = -0.369 eV/atom; space-group type = No. 123; calculated volume = 29.91 Å³/atom; density of states at the Fermi level = 0.4256 states/eV per atom; magnetization = 0.00 μB/f.u.; total DFT energy (no corrections) = -3.08 eV/atom
1.0
5.341 0.000 0.000
0.000 5.341 0.000
0.000 0.000 5.243
Ca Pt Br Cl
2 1 1 1
Cartesian
0.000 2.671 0.000 Ca
2.671 0.000 0.000 Ca
0.000 0.000 2.621 Pt
2.671 2.671 2.621 Br
2.671 2.671 0.000 Cl



No. 14
GGA-PBE Rb2CaBr2Cl2, relaxed; formation energy without anion corrections = -2.038 eV/atom; space-group type = No. 139; calculated volume = 36.57 Å³/atom; density of states at the Fermi level = 0.0000 states/eV per atom; magnetization = 0.00 μB/f.u.; total DFT energy (no corrections) = -3.61 eV/atom
1.0
5.395 0.000 0.000
0.000 5.395 0.000
0.000 0.000 17.587
Rb Ca Br Cl
4 2 4 4
Cartesian
0.000 0.000 2.458 Rb
0.000 0.000 15.129 Rb
2.698 2.698 6.336 Rb
2.698 2.698 11.251 Rb
0.000 0.000 8.793 Ca
2.698 2.698 0.000 Ca
0.000 0.000 5.894 Br
0.000 0.000 11.693 Br
2.698 2.698 2.900 Br
2.698 2.698 14.687 Br
0.000 2.698 0.000 Cl
0.000 2.698 8.793 Cl
2.698 0.000 0.000 Cl
2.698 0.000 8.793 Cl



No. 15
GGA-PBE Rb2CaBr3Cl, relaxed; formation energy without anion corrections = -1.953 eV/atom; space-group type = No. 71; calculated volume = 38.59 Å³/atom; density of states at the Fermi level = 0.0000 states/eV per atom; magnetization = 0.00 μB/f.u.; total DFT energy (no corrections) = -3.50 eV/atom
1.0
5.395 0.000 0.000
0.000 5.692 0.000
0.000 0.000 17.592
Rb Ca Br Cl
4 2 6 2
Cartesian
0.000 0.000 2.491 Rb
0.000 0.000 15.101 Rb
2.697 2.846 6.305 Rb
2.697 2.846 11.287 Rb
0.000 0.000 8.796 Ca
2.697 2.846 0.000 Ca
0.000 0.000 5.902 Br
0.000 0.000 11.690 Br
0.000 2.846 8.796 Br
2.697 0.000 0.000 Br
2.697 2.846 2.894 Br
2.697 2.846 14.698 Br
0.000 2.846 0.000 Cl
2.697 0.000 8.796 Cl



No. 16
GGA-PBE Rb2CaBrCl3, relaxed; formation energy without anion corrections = -2.067 eV/atom; space-group type = No. 71; calculated volume = 36.73 Å³/atom; density of states at the Fermi level = 0.0000 states/eV per atom; magnetization = 0.00 μB/f.u.; total DFT energy (no corrections) = -3.66 eV/atom
1.0
5.418 0.000 0.000
0.000 5.696 0.000
0.000 0.000 16.665
Rb Ca Br Cl
4 2 2 6
Cartesian
0.000 0.000 2.402 Rb
0.000 0.000 14.263 Rb
2.709 2.848 5.930 Rb
2.709 2.848 10.735 Rb
0.000 0.000 8.333 Ca
2.709 2.848 0.000 Ca
0.000 2.848 8.333 Br
2.709 0.000 0.000 Br
0.000 0.000 5.616 Cl
0.000 0.000 11.049 Cl
0.000 2.848 0.000 Cl
2.709 0.000 8.333 Cl
2.709 2.848 2.717 Cl
2.709 2.848 13.949 Cl



No. 17
GGA-PBE Rb2CaBrCl6, relaxed; formation energy without anion corrections = -1.357 eV/atom; space-group type = No. 139; calculated volume = 35.14 Å³/atom; density of states at the Fermi level = 0.6374 states/eV per atom; magnetization = 1.00 μB/f.u.; total DFT energy (no corrections) = -3.03 eV/atom
1.0
-4.133 4.133 5.142
4.133 -4.133 5.142
4.133 4.133 -5.142
Rb Ca Br Cl
2 1 1 6
Cartesian
4.133 0.000 2.571 Rb
0.000 4.133 2.571 Rb
0.000 0.000 0.000 Ca
0.000 0.000 5.142 Br
1.880 1.880 0.000 Cl
2.253 -2.253 5.142 Cl
0.000 0.000 2.801 Cl
0.000 0.000 7.484 Cl
-2.253 2.253 5.142 Cl
2.253 2.253 5.142 Cl



No. 18
GGA-PBE RbCaBr2Cl, relaxed; formation energy without anion corrections = -2.028 eV/atom; space-group type = No. 123; calculated volume = 35.74 Å³/atom; density of states at the Fermi level = 0.0000 states/eV per atom; magnetization = 0.00 μB/f.u.; total DFT energy (no corrections) = -3.66 eV/atom
1.0
5.760 0.000 0.000
0.000 5.760 0.000
0.000 0.000 5.386
Rb Ca Br Cl
1 1 2 1
Cartesian
0.000 0.000 0.000 Rb
2.880 2.880 2.693 Ca
0.000 2.880 2.693 Br
2.880 0.000 2.693 Br
2.880 2.880 0.000 Cl



No. 19
GGA-PBE Rb3Ca2Br2Cl5, relaxed; formation energy without anion corrections = -2.123 eV/atom; space-group type = No. 139; calculated volume = 34.54 Å³/atom; density of states at the Fermi level = 0.0000 states/eV per atom; magnetization = 0.00 μB/f.u.; total DFT energy (no corrections) = -3.75 eV/atom
1.0
-2.706 2.706 14.150
2.706 -2.706 14.150
2.706 2.706 -14.150
Rb Ca Br Cl
3 2 2 5
Cartesian
0.000 0.000 0.000 Rb
0.000 0.000 5.099 Rb
0.000 0.000 23.200 Rb
0.000 0.000 11.415 Ca
0.000 0.000 16.885 Ca
0.000 0.000 8.536 Br
0.000 0.000 19.764 Br
2.706 0.000 2.668 Cl
2.706 0.000 11.482 Cl
0.000 0.000 14.150 Cl
0.000 2.706 2.668 Cl
0.000 2.706 11.482 Cl



No. 20
GGA-PBE Rb3Ca2Br3Cl4, relaxed; formation energy without anion corrections = -2.055 eV/atom; space-group type = No. 44; calculated volume = 36.16 Å³/atom; density of states at the Fermi level = 0.0000 states/eV per atom; magnetization = 0.00 μB/f.u.; total DFT energy (no corrections) = -3.66 eV/atom
1.0
-2.863 14.002 2.706
2.863 -14.002 2.706
2.863 14.002 -2.706
Rb Ca Br Cl
3 2 3 4
Cartesian
0.000 0.000 0.000 Rb
2.863 -8.834 2.681 Rb
2.863 8.834 2.681 Rb
2.863 -2.934 2.698 Ca
2.863 2.934 2.698 Ca
2.863 11.273 -0.015 Br
2.863 0.000 2.699 Br
0.000 2.729 2.691 Br
2.863 2.908 -0.007 Cl
0.000 8.394 0.008 Cl
0.000 19.610 0.008 Cl
0.000 11.094 2.698 Cl